The following is a DFT calculation (PBE) of a geometry-optimized Sm3Cu2Ir7 structure.

Lattice parameters (Å, degrees): 5.3702 5.3702 9.0584 72.76 72.76 60.00
Last column: nearest neighbours and their distance in Å.
Sites, in units of the cell vectors:
Sm (0.8592, 0.8592, 0.4223)  12 Ir 3.08-3.22, 3 Sm 3.37
Sm (0.1408, 0.1408, 0.5777)  12 Ir 3.08-3.22, 3 Sm 3.37
Sm (0.0000, 0.0000, 0.0000)  6 Cu 3.10, 12 Ir 3.40
Ir (0.0774, 0.5837, 0.7551)  2 Cu 2.59-2.60, 5 Ir 2.65-2.72
Ir (0.9226, 0.4163, 0.2449)  2 Cu 2.59-2.60, 5 Ir 2.65-2.72
Ir (0.4163, 0.9226, 0.2449)  2 Cu 2.59-2.60, 5 Ir 2.65-2.72
Ir (0.4163, 0.4163, 0.2449)  2 Cu 2.59-2.60, 5 Ir 2.65-2.72
Ir (0.5837, 0.0774, 0.7551)  2 Cu 2.59-2.60, 5 Ir 2.65-2.72
Ir (0.5000, 0.5000, 0.5000)  6 Ir 2.68
Ir (0.5837, 0.5837, 0.7551)  2 Cu 2.59-2.60, 5 Ir 2.65-2.72
Cu (0.6658, 0.6658, 0.0025)  6 Ir 2.59-2.60
Cu (0.3342, 0.3342, 0.9975)  6 Ir 2.59-2.60

Density of states at the Fermi level   0.789 states/eV per atom
SG   R-3m
Spin magnetization   0.000 μB per formula unit
Formation enthalpy at 0 K   -0.549 eV per atom

---

The following is a DFT calculation (PBE) of a geometry-optimized TbZnGa3Co structure.

Lattice parameters (Å, degrees): 5.9952 6.4593 6.6300 119.15 90.00 90.00
Last column: nearest neighbours and their distance in Å.
Sites, in units of the cell vectors:
Zn (0.2500, 0.9524, 0.9048)  5 Ga 2.52-2.59, 1 Tb 2.82
Zn (0.7500, 0.0476, 0.0952)  5 Ga 2.52-2.59, 1 Tb 2.82
Ga (0.2500, 0.1761, 0.3522)  1 Co 2.32, 1 Zn 2.59
Ga (0.7500, 0.8239, 0.6478)  1 Co 2.32, 1 Zn 2.59
Ga (0.0000, 0.3017, 0.0000)  2 Co 2.44, 2 Zn 2.52, 1 Ga 2.56
Ga (0.0000, 0.6983, 0.0000)  2 Co 2.44, 2 Zn 2.52, 1 Ga 2.56
Ga (0.5000, 0.3017, 0.0000)  2 Co 2.44, 2 Zn 2.52, 1 Ga 2.56
Ga (0.5000, 0.6983, 0.0000)  2 Co 2.44, 2 Zn 2.52, 1 Ga 2.56
Co (0.2500, 0.3762, 0.7524)  5 Ga 2.32-2.44
Co (0.7500, 0.6238, 0.2476)  5 Ga 2.32-2.44
Tb (0.2500, 0.7088, 0.4177)  1 Zn 2.82, 4 Ga 3.12, 2 Co 3.16
Tb (0.7500, 0.2912, 0.5823)  1 Zn 2.82, 4 Ga 3.12, 2 Co 3.16

Density of states at the Fermi level   0.485 states/eV per atom
SG   Cmcm
Spin magnetization   0.000 μB per formula unit
Formation enthalpy at 0 K   -0.092 eV per atom

---

The following is a DFT calculation (PBE) of a geometry-optimized Mg4CdCu structure.

Lattice parameters (Å, degrees): 4.4864 4.4797 6.9383 86.51 89.64 90.14
Last column: nearest neighbours and their distance in Å.
Sites, in units of the cell vectors:
Mg (0.5016, 0.9833, 0.2790)  2 Cu 2.71-2.72, 2 Cd 2.93-3.01
Mg (0.5009, 0.0112, 0.7170)  2 Cu 2.70-2.72, 2 Cd 2.93-3.01
Mg (0.0033, 0.4906, 0.7205)  2 Cu 2.67-2.77, 2 Cd 2.96
Mg (0.9994, 0.5039, 0.2759)  2 Cu 2.67-2.77, 2 Cd 2.96
Cd (0.5013, 0.4975, 0.9982)  8 Mg 2.93-3.01
Cu (0.0012, 0.9972, 0.4983)  8 Mg 2.67-2.77

Density of states at the Fermi level   0.455 states/eV per atom
SG   P-1
Spin magnetization   0.000 μB per formula unit
Formation enthalpy at 0 K   0.055 eV per atom

---

The following is a DFT calculation (PBE) of a geometry-optimized MnIn2Au structure.

Lattice parameters (Å, degrees): 3.1315 3.1823 8.3002 68.12 90.00 90.00
Last column: nearest neighbours and their distance in Å.
Sites, in units of the cell vectors:
In (0.0000, 0.5140, 0.4875)  4 Mn 2.88-2.90, 4 Au 3.00-3.03, 4 In 3.13-3.18
In (0.0000, 0.9860, 0.0125)  4 Mn 2.88-2.90, 4 Au 3.00-3.03, 4 In 3.13-3.18
Au (0.5000, 0.7500, 0.7500)  8 In 3.00-3.03, 4 Au 3.13-3.18
Mn (0.5000, 0.2500, 0.2500)  8 In 2.88-2.90, 4 Mn 3.13-3.18

Density of states at the Fermi level   0.391 states/eV per atom
SG   P2/m
Spin magnetization   3.275 μB per formula unit
Formation enthalpy at 0 K   0.078 eV per atom